The following is a DFT calculation (PBE-GGA) of a relaxed structure of TbPr2Ho6.

Summary:
polymorph energy (0 for the lowest one) = 93 meV/atom
symmetry = C2/c (15)
energy = -79.61 eV for the cell shown
ΔH_f (0 K) = 205 meV per atom

Cell lengths 6.4253, 10.1684, 10.1684 Å; angles 88.08, 70.37, 70.37 degrees
With the nearest neighbours (Å) after each atom.
Sites, in units of the cell vectors:
Tb 0.2500 0.1320 0.8680  8 Ho 3.21-3.47
Tb 0.7500 0.8680 0.1320  8 Ho 3.21-3.47
Pr 0.1658 0.6105 0.6874  5 Ho 3.32-3.63, 2 Pr 3.39
Pr 0.3342 0.3126 0.3895  5 Ho 3.32-3.63, 2 Pr 3.39
Pr 0.8342 0.3895 0.3126  5 Ho 3.32-3.63, 2 Pr 3.39
Pr 0.6658 0.6874 0.6105  5 Ho 3.32-3.63, 2 Pr 3.39
Ho 0.4111 0.7426 0.3690  3 Ho 3.18-3.51, 1 Tb 3.21, 2 Pr 3.32-3.53
Ho 0.0889 0.6310 0.2574  3 Ho 3.18-3.51, 1 Tb 3.21, 2 Pr 3.32-3.53
Ho 0.5889 0.2574 0.6310  3 Ho 3.18-3.51, 1 Tb 3.21, 2 Pr 3.32-3.53
Ho 0.9111 0.3690 0.7426  3 Ho 3.18-3.51, 1 Tb 3.21, 2 Pr 3.32-3.53
Ho 0.7908 0.9627 0.4448  5 Ho 3.22-3.54, 1 Pr 3.41, 1 Tb 3.47
Ho 0.7092 0.5552 0.0373  5 Ho 3.22-3.54, 1 Pr 3.41, 1 Tb 3.47
Ho 0.2092 0.0373 0.5552  5 Ho 3.22-3.54, 1 Pr 3.41, 1 Tb 3.47
Ho 0.2908 0.4448 0.9627  5 Ho 3.22-3.54, 1 Pr 3.41, 1 Tb 3.47
Ho 0.3062 0.8023 0.9456  2 Tb 3.28-3.35, 4 Ho 3.31-3.67, 1 Pr 3.39
Ho 0.1938 0.0544 0.1977  2 Tb 3.28-3.35, 4 Ho 3.31-3.67, 1 Pr 3.39
Ho 0.6938 0.1977 0.0544  2 Tb 3.28-3.35, 4 Ho 3.31-3.67, 1 Pr 3.39
Ho 0.8062 0.9456 0.8023  2 Tb 3.28-3.35, 4 Ho 3.31-3.67, 1 Pr 3.39


The following is a DFT calculation (PBE-GGA) of a relaxed structure of Li2TaAs.

Summary:
symmetry = Pmmm (47)
energy = -20.24 eV for the cell shown
ΔH_f (0 K) = 23 meV per atom

Cell lengths 2.8708, 4.1627, 5.2962 Å; angles 90.00, 90.00, 90.00 degrees
With the nearest neighbours (Å) after each atom.
Sites, in units of the cell vectors:
As 0.5000 0.5000 0.7500  2 Ta 2.65, 8 Li 2.82, 2 As 2.87
Li 0.0000 0.0000 0.9850  1 Li 2.49
Li 0.0000 0.0000 0.5150  1 Li 2.49
Ta 0.5000 0.5000 0.2500  2 As 2.65, 2 Ta 2.87, 8 Li 2.89


Question: Which value of ΔH_f (0 K) does entry 2 give?
Answer: 23 meV per atom


Question: Which of these has the highest ΔH_f (0 K)?
Answer: TbPr2Ho6


Question: Among the records above, which one has the highest energy?
Answer: Li2TaAs


Question: What is the energy in the second record?
Answer: -20.24 eV for the cell shown